Computed, not measured: SnHg6Pb12 after structural relaxation at the PBE level of DFT.

It has space group R-3 (No. 148, hexagonal axes), with a = 13.2879 Å, b = 13.2879 Å, c = 11.3835 Å, α = 90.00°, β = 90.00° and γ = 120.00°. The asymmetric unit holds Sn at (0.0000, 0.0000, 0.0000), Hg at (0.0808, 0.9184, 0.7520), Pb at (0.9996, 0.2562, 0.0003) and Pb at (0.0709, 0.5356, 0.1192).

The value obtained for the uncorrected energy is -2.57 eV/atom. The crystal system is trigonal. For the relative energy among the computed polymorphs, the calculation gives 0.87 eV per formula unit. For the total magnetization, the calculation gives 0.00 μB/atom. The density of states at the Fermi level comes out at 26.993 states/eV/cell. The calculation puts the calculated formation energy at 1.4 eV per formula unit.

***

Computed, not measured: MgCuRuC after structural relaxation at the PBE level of DFT.

It has space group Amm2 (No. 38), with a = 4.5505 Å, b = 2.9630 Å, c = 9.5850 Å, α = 90.00°, β = 90.00° and γ = 90.00°. The asymmetric unit holds Mg at (0.0000, 0.0000, 0.0000), Cu at (0.5000, 0.0000, 0.1934), Ru at (0.5000, 0.0000, 0.4583) and C at (0.5000, 0.0000, 0.8317).

The value obtained for the uncorrected energy is -5.73 eV/atom. The crystal system is orthorhombic. For the relative energy among the computed polymorphs, the calculation gives 0.38 eV per formula unit. For the total magnetization, the calculation gives 0.00 μB/atom. The density of states at the Fermi level comes out at 3.235 states/eV/cell. The calculation puts the calculated formation energy at 1.3 eV per formula unit.

***

Computed, not measured: Li3FeAs after structural relaxation at the PBE level of DFT.

It has space group Pm-3m (No. 221), with a = 4.7572 Å, b = 4.7572 Å, c = 4.7572 Å, α = 90.00°, β = 90.00° and γ = 90.00°. The asymmetric unit holds Li at (0.0000, 0.0000, 0.5000), Fe at (0.5000, 0.5000, 0.5000) and As at (0.0000, 0.0000, 0.0000).

The value obtained for the uncorrected energy is -3.46 eV/atom. The crystal system is cubic. For the relative energy among the computed polymorphs, the calculation gives 0.00 eV per formula unit. For the total magnetization, the calculation gives 0.78 μB/atom. The density of states at the Fermi level comes out at 6.619 states/eV/cell. The calculation puts the calculated formation energy at 1.5 eV per formula unit.

***

Computed, not measured: Mn2TcHRh after structural relaxation at the PBE level of DFT.

It has space group P4/mmm (No. 123), with a = 3.7629 Å, b = 3.7629 Å, c = 3.7766 Å, α = 90.00°, β = 90.00° and γ = 90.00°. The asymmetric unit holds Mn at (0.0000, 0.5000, 0.0000), Tc at (0.0000, 0.0000, 0.5000), H at (0.0000, 0.0000, 0.0000) and Rh at (0.5000, 0.5000, 0.5000).

The value obtained for the uncorrected energy is -7.86 eV/atom. The crystal system is tetragonal. For the relative energy among the computed polymorphs, the calculation gives 0.01 eV per formula unit. For the total magnetization, the calculation gives 0.38 μB/atom. The density of states at the Fermi level comes out at 4.602 states/eV/cell.

***

Computed, not measured: SiHg after structural relaxation at the PBE level of DFT.

It has space group Pm-3m (No. 221), with a = 5.2763 Å, b = 5.2763 Å, c = 5.2763 Å, α = 90.00°, β = 90.00° and γ = 90.00°. The asymmetric unit holds Si at (0.0000, 0.0000, 0.5000) and Hg at (0.0000, 0.5000, 0.5000).

The value obtained for the uncorrected energy is -2.15 eV/atom. The crystal system is cubic. For the relative energy among the computed polymorphs, the calculation gives 1.14 eV per formula unit. For the total magnetization, the calculation gives 0.00 μB/atom. The density of states at the Fermi level comes out at 3.015 states/eV/cell. For the energy relative to the elements, uncorrected, the calculation gives 0.715 eV per atom.

***

Computed, not measured: Ba4NaAu2 after structural relaxation at the PBE level of DFT.

It has space group R-3m (No. 166, hexagonal axes), with a = 5.6335 Å, b = 5.6335 Å, c = 32.7185 Å, α = 90.00°, β = 90.00° and γ = 120.00°. The asymmetric unit holds Ba at (0.0000, 0.0000, 0.1102), Ba at (0.0000, 0.0000, 0.2974), Na at (0.0000, 0.0000, 0.5000) and Au at (0.0000, 0.0000, 0.4034).

The value obtained for the uncorrected energy is -2.60 eV/atom. The crystal system is trigonal. For the relative energy among the computed polymorphs, the calculation gives 0.41 eV per formula unit. For the total magnetization, the calculation gives 0.00 μB/atom. The density of states at the Fermi level comes out at 19.282 states/eV/cell. The calculation puts the calculated formation energy at -2.6 eV per formula unit.

***

Computed, not measured: KBe2Tc2 after structural relaxation at the PBE level of DFT.

It has space group P4/mbm (No. 127), with a = 7.7840 Å, b = 7.7840 Å, c = 2.5542 Å, α = 90.00°, β = 90.00° and γ = 90.00°. The asymmetric unit holds K at (0.0000, 0.0000, 0.0000), Be at (0.1686, 0.3314, 0.5000) and Tc at (0.1130, 0.6130, 0.0000).

The value obtained for the uncorrected energy is -5.28 eV/atom. The crystal system is tetragonal. For the relative energy among the computed polymorphs, the calculation gives 0.00 eV per formula unit. For the total magnetization, the calculation gives 0.00 μB/atom. The density of states at the Fermi level comes out at 7.441 states/eV/cell. The calculation puts the calculated formation energy at 2.9 eV per formula unit.

***

Computed, not measured: Sc9In3O2 after structural relaxation at the PBE level of DFT.

It has space group P-3m1 (No. 164), with a = 6.3446 Å, b = 6.3446 Å, c = 7.7847 Å, α = 90.00°, β = 90.00° and γ = 120.00°. The asymmetric unit holds Sc at (0.0000, 0.5000, 0.0000), Sc at (0.1678, 0.3357, 0.6683), In at (0.0000, 0.0000, 0.0000), In at (0.3333, 0.6667, 0.3335) and O at (0.3333, 0.6667, 0.8396).

The value obtained for the uncorrected energy is -6.49 eV/atom. The crystal system is trigonal. For the total magnetization, the calculation gives 0.05 μB/atom. The density of states at the Fermi level comes out at 15.098 states/eV/cell. For the energy relative to the elements, uncorrected, the calculation gives -1.129 eV per atom.